# 1
# Sm2HoSn4Au4 (PBE, relaxed)
# E_tot ... -4.58 eV/atom
# Total moment ... 0.0 μB/f.u.
data_Sm2HoSn4Au4
_symmetry_space_group_name_H-M 'I m m m'
_symmetry_Int_Tables_number 71
_symmetry_space_group_name_Hall '-I 2 2'
_cell_length_a 4.657
_cell_length_b 7.234
_cell_length_c 15.511
_cell_angle_alpha 90.00
_cell_angle_beta 90.00
_cell_angle_gamma 90.00
loop_
_atom_site_label
_atom_site_fract_x
_atom_site_fract_y
_atom_site_fract_z
_atom_site_occupancy
Sm1 0.000 0.000 0.129 1
Ho1 0.000 0.500 0.000 1
Sn1 0.000 0.300 0.500 1
Sn2 0.000 0.500 0.211 1
Au1 0.000 0.204 0.330 1



# 2
# Li2Sc2Ga2CuIr (PBE, relaxed)
# E_tot ... -4.91 eV/atom
# Total moment ... 0.0 μB/f.u.
data_Li2Sc2Ga2CuIr
_symmetry_space_group_name_H-M 'P -4 m 2'
_symmetry_Int_Tables_number 115
_cell_length_a 4.423
_cell_length_b 4.423
_cell_length_c 6.241
_cell_angle_alpha 90.00
_cell_angle_beta 90.00
_cell_angle_gamma 90.00
loop_
_symmetry_equiv_pos_as_xyz
'x,y,z'
'y,-x,-z'
'-x,-y,z'
'-y,x,-z'
'-x,y,z'
'-y,-x,-z'
'x,-y,z'
'y,x,-z'
loop_
_atom_site_label
_atom_site_fract_x
_atom_site_fract_y
_atom_site_fract_z
_atom_site_occupancy
Li1 0.000 0.000 0.000 1
Li2 0.500 0.500 0.500 1
Sc1 0.000 0.500 0.250 1
Ga1 0.000 0.500 0.750 1
Cu1 0.000 0.000 0.500 1
Ir1 0.500 0.500 0.000 1



# 3
# ZrCdInFe (PBE, relaxed)
# Excess energy over the best structure of this formula in the dataset ... 28.9 kJ/mol of formula units
# Total moment ... 2.3 μB/f.u.
data_ZrCdInFe
_symmetry_space_group_name_H-M 'F -4 3 m'
_symmetry_Int_Tables_number 216
_symmetry_space_group_name_Hall 'F -4 2 3'
_cell_length_a 6.752
_cell_length_b 6.752
_cell_length_c 6.752
_cell_angle_alpha 90.00
_cell_angle_beta 90.00
_cell_angle_gamma 90.00
loop_
_atom_site_label
_atom_site_fract_x
_atom_site_fract_y
_atom_site_fract_z
_atom_site_occupancy
Zr1 0.000 0.000 0.000 1
Cd1 0.250 0.250 0.750 1
In1 0.250 0.250 0.250 1
Fe1 0.000 0.000 0.500 1



# 4
# NaTbPt (PBE, relaxed)
# Excess energy over the best structure of this formula in the dataset ... 0.0 kJ/mol of formula units
# Total moment ... 0.0 μB/f.u.
data_NaTbPt
_symmetry_space_group_name_H-M 'F -4 3 m'
_symmetry_Int_Tables_number 216
_symmetry_space_group_name_Hall 'F -4 2 3'
_cell_length_a 6.737
_cell_length_b 6.737
_cell_length_c 6.737
_cell_angle_alpha 90.00
_cell_angle_beta 90.00
_cell_angle_gamma 90.00
loop_
_atom_site_label
_atom_site_fract_x
_atom_site_fract_y
_atom_site_fract_z
_atom_site_occupancy
Na1 0.000 0.000 0.000 1
Tb1 0.000 0.000 0.500 1
Pt1 0.250 0.250 0.250 1



# 5
# NbCoSiPd (PBE, relaxed)
# Excess energy over the best structure of this formula in the dataset ... 0.0 kJ/mol of formula units
# Total moment ... 0.2 μB/f.u.
data_NbCoSiPd
_symmetry_space_group_name_H-M 'F -4 3 m'
_symmetry_Int_Tables_number 216
_symmetry_space_group_name_Hall 'F -4 2 3'
_cell_length_a 6.090
_cell_length_b 6.090
_cell_length_c 6.090
_cell_angle_alpha 90.00
_cell_angle_beta 90.00
_cell_angle_gamma 90.00
loop_
_atom_site_label
_atom_site_fract_x
_atom_site_fract_y
_atom_site_fract_z
_atom_site_occupancy
Nb1 0.000 0.000 0.000 1
Co1 0.250 0.250 0.750 1
Si1 0.000 0.000 0.500 1
Pd1 0.250 0.250 0.250 1



# 6
# CdP2O6 (PBE, relaxed)
# E_tot ... -6.22 eV/atom
data_CdP2O6
_symmetry_space_group_name_H-M 'C 1 2/m 1'
_symmetry_Int_Tables_number 12
_cell_length_a 8.566
_cell_length_b 3.470
_cell_length_c 6.750
_cell_angle_alpha 90.00
_cell_angle_beta 115.86
_cell_angle_gamma 90.00
loop_
_symmetry_equiv_pos_as_xyz
'x,y,z'
'-x,-y,-z'
'-x,y,-z'
'x,-y,z'
'x+1/2,y+1/2,z'
'-x+1/2,-y+1/2,-z'
'-x+1/2,y+1/2,-z'
'x+1/2,-y+1/2,z'
loop_
_atom_site_label
_atom_site_fract_x
_atom_site_fract_y
_atom_site_fract_z
_atom_site_occupancy
Cd1 0.000 0.000 0.000 1
P1 0.171 0.000 0.596 1
O1 0.010 0.000 0.664 1
O2 0.184 0.500 0.161 1
O3 0.196 0.500 0.549 1



# 7
# NaHoMg (PBE, relaxed)
# Excess energy over the best structure of this formula in the dataset ... 0.0 kJ/mol of formula units
# Total moment ... 0.0 μB/f.u.
data_NaHoMg
_symmetry_space_group_name_H-M 'F -4 3 m'
_symmetry_Int_Tables_number 216
_symmetry_space_group_name_Hall 'F -4 2 3'
_cell_length_a 7.377
_cell_length_b 7.377
_cell_length_c 7.377
_cell_angle_alpha 90.00
_cell_angle_beta 90.00
_cell_angle_gamma 90.00
loop_
_atom_site_label
_atom_site_fract_x
_atom_site_fract_y
_atom_site_fract_z
_atom_site_occupancy
Na1 0.000 0.000 0.000 1
Ho1 0.000 0.000 0.500 1
Mg1 0.250 0.250 0.750 1



# 8
# Rb2Zn2O5 (PBE, relaxed)
# Excess energy over the best structure of this formula in the dataset ... 0.0 kJ/mol of formula units
data_Rb2Zn2O5
_symmetry_space_group_name_H-M 'P 4/m m m'
_symmetry_Int_Tables_number 123
_symmetry_space_group_name_Hall '-P 4 2'
_cell_length_a 3.810
_cell_length_b 3.810
_cell_length_c 9.242
_cell_angle_alpha 90.00
_cell_angle_beta 90.00
_cell_angle_gamma 90.00
loop_
_atom_site_label
_atom_site_fract_x
_atom_site_fract_y
_atom_site_fract_z
_atom_site_occupancy
Rb1 0.000 0.000 0.000 1
Rb2 0.000 0.000 0.500 1
Zn1 0.500 0.500 0.213 1
O1 0.000 0.500 0.267 1
O2 0.500 0.500 0.000 1



# 9
# SrLuOs (PBE, relaxed)
# Excess energy over the best structure of this formula in the dataset ... 0.0 kJ/mol of formula units
# Total moment ... 0.0 μB/f.u.
data_SrLuOs
_symmetry_space_group_name_H-M 'F -4 3 m'
_symmetry_Int_Tables_number 216
_symmetry_space_group_name_Hall 'F -4 2 3'
_cell_length_a 6.874
_cell_length_b 6.874
_cell_length_c 6.874
_cell_angle_alpha 90.00
_cell_angle_beta 90.00
_cell_angle_gamma 90.00
loop_
_atom_site_label
_atom_site_fract_x
_atom_site_fract_y
_atom_site_fract_z
_atom_site_occupancy
Sr1 0.000 0.000 0.000 1
Lu1 0.000 0.000 0.500 1
Os1 0.250 0.250 0.750 1



# 10
# ZrOF2 (PBE, relaxed)
# E_tot ... -7.63 eV/atom
# Total moment ... 0.0 μB/f.u.
data_ZrOF2
_symmetry_space_group_name_H-M 'P 1 2/m 1'
_symmetry_Int_Tables_number 10
_cell_length_a 6.825
_cell_length_b 3.372
_cell_length_c 9.213
_cell_angle_alpha 90.00
_cell_angle_beta 108.61
_cell_angle_gamma 90.00
loop_
_symmetry_equiv_pos_as_xyz
'x,y,z'
'-x,-y,-z'
'-x,y,-z'
'x,-y,z'
loop_
_atom_site_label
_atom_site_fract_x
_atom_site_fract_y
_atom_site_fract_z
_atom_site_occupancy
Zr1 0.192 0.000 0.413 1
Zr2 0.307 0.500 0.087 1
O1 0.190 0.000 0.990 1
O2 0.310 0.500 0.509 1
F1 0.097 0.500 0.221 1
F2 0.117 0.000 0.635 1
F3 0.383 0.500 0.865 1
F4 0.403 0.000 0.279 1



# 11
# RbSmNi (PBE, relaxed)
# E_tot ... -2.79 eV/atom
# Total moment ... 0.0 μB/f.u.
data_RbSmNi
_symmetry_space_group_name_H-M 'F -4 3 m'
_symmetry_Int_Tables_number 216
_symmetry_space_group_name_Hall 'F -4 2 3'
_cell_length_a 7.027
_cell_length_b 7.027
_cell_length_c 7.027
_cell_angle_alpha 90.00
_cell_angle_beta 90.00
_cell_angle_gamma 90.00
loop_
_atom_site_label
_atom_site_fract_x
_atom_site_fract_y
_atom_site_fract_z
_atom_site_occupancy
Rb1 0.000 0.000 0.000 1
Sm1 0.250 0.250 0.750 1
Ni1 0.000 0.000 0.500 1



# 12
# Tb2Dy2O5 (PBE, relaxed)
# Excess energy over the best structure of this formula in the dataset ... 12.5 kJ/mol of formula units
# Total moment ... 1.3 μB/f.u.
data_Tb2Dy2O5
_symmetry_space_group_name_H-M 'P 4/m m m'
_symmetry_Int_Tables_number 123
_symmetry_space_group_name_Hall '-P 4 2'
_cell_length_a 3.883
_cell_length_b 3.883
_cell_length_c 9.654
_cell_angle_alpha 90.00
_cell_angle_beta 90.00
_cell_angle_gamma 90.00
loop_
_atom_site_label
_atom_site_fract_x
_atom_site_fract_y
_atom_site_fract_z
_atom_site_occupancy
Tb1 0.000 0.000 0.241 1
Dy1 0.500 0.500 0.000 1
Dy2 0.500 0.500 0.500 1
O1 0.000 0.000 0.500 1
O2 0.000 0.500 0.142 1



# 13
# ScTl2Ir (PBE, relaxed)
# E_tot ... -4.93 eV/atom
# Total moment ... 0.0 μB/f.u.
data_ScTl2Ir
_symmetry_space_group_name_H-M 'F -4 3 m'
_symmetry_Int_Tables_number 216
_symmetry_space_group_name_Hall 'F -4 2 3'
_cell_length_a 6.930
_cell_length_b 6.930
_cell_length_c 6.930
_cell_angle_alpha 90.00
_cell_angle_beta 90.00
_cell_angle_gamma 90.00
loop_
_atom_site_label
_atom_site_fract_x
_atom_site_fract_y
_atom_site_fract_z
_atom_site_occupancy
Sc1 0.000 0.000 0.000 1
Tl1 0.000 0.000 0.500 1
Tl2 0.250 0.250 0.750 1
Ir1 0.250 0.250 0.250 1



# 14
# Ho3Mg3AlCdAg (PBE, relaxed)
# E_tot ... -3.16 eV/atom
# Total moment ... 0.0 μB/f.u.
data_Ho3Mg3AlCdAg
_symmetry_space_group_name_H-M 'P -6'
_symmetry_Int_Tables_number 174
_cell_length_a 7.5606
_cell_length_b 7.5606
_cell_length_c 4.3393
_cell_angle_alpha 90.00
_cell_angle_beta 90.00
_cell_angle_gamma 120.00
loop_
_symmetry_equiv_pos_as_xyz
'x,y,z'
'-x+y,-x,-z'
'-y,x-y,z'
'x,y,-z'
'-x+y,-x,z'
'-y,x-y,-z'
loop_
_atom_site_label
_atom_site_fract_x
_atom_site_fract_y
_atom_site_fract_z
_atom_site_occupancy
Ho1 0.0867 0.3444 0.0000 1
Mg1 0.4242 0.3351 0.5000 1
Al1 0.3333 0.6667 0.5000 1
Cd1 0.0000 0.0000 0.5000 1
Ag1 0.6667 0.3333 0.0000 1



# 15
# Zr4InPbN2 (PBE, relaxed)
# E_tot ... -8.17 eV/atom
# Total moment ... 0.0 μB/f.u.
data_Zr4InPbN2
_symmetry_space_group_name_H-M 'P -6 m 2'
_symmetry_Int_Tables_number 187
_symmetry_space_group_name_Hall 'P -6 2'
_cell_length_a 3.3175
_cell_length_b 3.3175
_cell_length_c 14.9716
_cell_angle_alpha 90.00
_cell_angle_beta 90.00
_cell_angle_gamma 120.00
loop_
_atom_site_label
_atom_site_fract_x
_atom_site_fract_y
_atom_site_fract_z
_atom_site_occupancy
Zr1 0.0000 0.0000 0.1659 1
Zr2 0.3333 0.6667 0.3329 1
In1 0.3333 0.6667 0.0000 1
Pb1 0.0000 0.0000 0.5000 1
N1 0.6667 0.3333 0.2478 1



# 16
# ZrPOsO (PBE, relaxed)
# Excess energy over the best structure of this formula in the dataset ... 0.0 kJ/mol of formula units
# Total moment ... 0.0 μB/f.u.
data_ZrPOsO
_symmetry_space_group_name_H-M 'P 4/n m m'
_symmetry_Int_Tables_number 129
_cell_length_a 4.029
_cell_length_b 4.029
_cell_length_c 6.835
_cell_angle_alpha 90.00
_cell_angle_beta 90.00
_cell_angle_gamma 90.00
loop_
_symmetry_equiv_pos_as_xyz
'x,y,z'
'-x,-y,-z'
'-y+1/2,x,z'
'y+1/2,-x,-z'
'-x+1/2,-y+1/2,z'
'x+1/2,y+1/2,-z'
'y,-x+1/2,z'
'-y,x+1/2,-z'
'x+1/2,-y,-z'
'-x+1/2,y,z'
'-y,-x,-z'
'y,x,z'
'-x,y+1/2,-z'
'x,-y+1/2,z'
'y+1/2,x+1/2,-z'
'-y+1/2,-x+1/2,z'
loop_
_atom_site_label
_atom_site_fract_x
_atom_site_fract_y
_atom_site_fract_z
_atom_site_occupancy
Zr1 0.250 0.250 0.135 1
P1 0.250 0.250 0.676 1
Os1 0.250 0.750 0.500 1
O1 0.250 0.750 0.000 1



# 17
# LiTa3Sb4Ir4 (PBE, relaxed)
# E_tot ... -7.99 eV/atom
# Total moment ... 0.0 μB/f.u.
data_LiTa3Sb4Ir4
_symmetry_space_group_name_H-M 'I -4 2 m'
_symmetry_Int_Tables_number 121
_symmetry_space_group_name_Hall 'I -4 2'
_cell_length_a 6.244
_cell_length_b 6.244
_cell_length_c 12.381
_cell_angle_alpha 90.00
_cell_angle_beta 90.00
_cell_angle_gamma 90.00
loop_
_atom_site_label
_atom_site_fract_x
_atom_site_fract_y
_atom_site_fract_z
_atom_site_occupancy
Li1 0.000 0.000 0.000 1
Ta1 0.000 0.000 0.500 1
Ta2 0.000 0.500 0.250 1
Sb1 0.000 0.000 0.236 1
Sb2 0.000 0.500 0.000 1
Ir1 0.234 0.234 0.631 1



# 18
# CsReAuSeS2 (PBE, relaxed)
# E_tot ... -4.93 eV/atom
# Total moment ... 2.5 μB/f.u.
data_CsReAuSeS2
_symmetry_space_group_name_H-M 'C m c m'
_symmetry_Int_Tables_number 63
_symmetry_space_group_name_Hall '-C 2c 2'
_cell_length_a 3.694
_cell_length_b 17.505
_cell_length_c 9.974
_cell_angle_alpha 90.00
_cell_angle_beta 90.00
_cell_angle_gamma 90.00
loop_
_atom_site_label
_atom_site_fract_x
_atom_site_fract_y
_atom_site_fract_z
_atom_site_occupancy
Cs1 0.000 0.221 0.250 1
Re1 0.000 0.500 0.000 1
Au1 0.000 0.107 0.750 1
Se1 0.000 0.456 0.750 1
S1 0.000 0.094 0.519 1



# 19
# PrTlFe (PBE, relaxed)
# E_tot ... -4.33 eV/atom
# Total moment ... 2.5 μB/f.u.
data_PrTlFe
_symmetry_space_group_name_H-M 'F -4 3 m'
_symmetry_Int_Tables_number 216
_symmetry_space_group_name_Hall 'F -4 2 3'
_cell_length_a 6.941
_cell_length_b 6.941
_cell_length_c 6.941
_cell_angle_alpha 90.00
_cell_angle_beta 90.00
_cell_angle_gamma 90.00
loop_
_atom_site_label
_atom_site_fract_x
_atom_site_fract_y
_atom_site_fract_z
_atom_site_occupancy
Pr1 0.000 0.000 0.000 1
Tl1 0.250 0.250 0.250 1
Fe1 0.250 0.250 0.750 1



# 20
# LuZnFeHg (PBE, relaxed)
# Excess energy over the best structure of this formula in the dataset ... 0.0 kJ/mol of formula units
# Energy relative to the elements ... 12 meV/atom
# Total moment ... 2.6 μB/f.u.
data_LuZnFeHg
_symmetry_space_group_name_H-M 'F -4 3 m'
_symmetry_Int_Tables_number 216
_symmetry_space_group_name_Hall 'F -4 2 3'
_cell_length_a 6.691
_cell_length_b 6.691
_cell_length_c 6.691
_cell_angle_alpha 90.00
_cell_angle_beta 90.00
_cell_angle_gamma 90.00
loop_
_atom_site_label
_atom_site_fract_x
_atom_site_fract_y
_atom_site_fract_z
_atom_site_occupancy
Lu1 0.000 0.000 0.000 1
Zn1 0.250 0.250 0.250 1
Fe1 0.000 0.000 0.500 1
Hg1 0.250 0.250 0.750 1



# 21
# AgPdSO (PBE, relaxed)
# Excess energy over the best structure of this formula in the dataset ... 39.2 kJ/mol of formula units
data_AgPdSO
_symmetry_space_group_name_H-M 'P 21 21 21'
_symmetry_Int_Tables_number 19
_cell_length_a 5.735
_cell_length_b 6.395
_cell_length_c 7.179
_cell_angle_alpha 90.00
_cell_angle_beta 90.00
_cell_angle_gamma 90.00
loop_
_symmetry_equiv_pos_as_xyz
'x,y,z'
'-x+1/2,-y,z+1/2'
'x+1/2,-y+1/2,-z'
'-x,y+1/2,-z+1/2'
loop_
_atom_site_label
_atom_site_fract_x
_atom_site_fract_y
_atom_site_fract_z
_atom_site_occupancy
Ag1 0.059 0.231 0.119 1
Pd1 0.009 0.153 0.723 1
S1 0.242 0.088 0.400 1
O1 0.173 0.395 0.846 1



# 22
# ZrSc2Si3Os3 (PBE, relaxed)
# E_tot ... -8.74 eV/atom
# Total moment ... 0.0 μB/f.u.
data_ZrSc2Si3Os3
_symmetry_space_group_name_H-M 'A m m 2'
_symmetry_Int_Tables_number 38
_cell_length_a 3.508
_cell_length_b 11.797
_cell_length_c 6.837
_cell_angle_alpha 90.00
_cell_angle_beta 90.00
_cell_angle_gamma 90.00
loop_
_symmetry_equiv_pos_as_xyz
'x,y,z'
'-x,-y,z'
'-x,y,z'
'x,-y,z'
'x,y+1/2,z+1/2'
'-x,-y+1/2,z+1/2'
'-x,y+1/2,z+1/2'
'x,-y+1/2,z+1/2'
loop_
_atom_site_label
_atom_site_fract_x
_atom_site_fract_y
_atom_site_fract_z
_atom_site_occupancy
Zr1 0.000 0.000 0.000 1
Sc1 0.000 0.203 0.614 1
Si1 0.000 0.000 0.411 1
Si2 0.500 0.169 0.909 1
Os1 0.500 0.000 0.660 1
Os2 0.500 0.125 0.284 1



# 23
# LiCdSn (PBE, relaxed)
# E_tot ... -2.42 eV/atom
data_LiCdSn
_symmetry_space_group_name_H-M 'F -4 3 m'
_symmetry_Int_Tables_number 216
_symmetry_space_group_name_Hall 'F -4 2 3'
_cell_length_a 6.670
_cell_length_b 6.670
_cell_length_c 6.670
_cell_angle_alpha 90.00
_cell_angle_beta 90.00
_cell_angle_gamma 90.00
loop_
_atom_site_label
_atom_site_fract_x
_atom_site_fract_y
_atom_site_fract_z
_atom_site_occupancy
Li1 0.000 0.000 0.000 1
Cd1 0.000 0.000 0.500 1
Sn1 0.250 0.250 0.750 1



# 24
# Li3NiN2 (PBE, relaxed)
# E_tot ... -4.85 eV/atom
# Total moment ... 0.3 μB/f.u.
data_Li3NiN2
_symmetry_space_group_name_H-M 'I b a m'
_symmetry_Int_Tables_number 72
_symmetry_space_group_name_Hall '-I 2 2c'
_cell_length_a 4.747
_cell_length_b 9.451
_cell_length_c 4.794
_cell_angle_alpha 90.00
_cell_angle_beta 90.00
_cell_angle_gamma 90.00
loop_
_atom_site_label
_atom_site_fract_x
_atom_site_fract_y
_atom_site_fract_z
_atom_site_occupancy
Li1 0.000 0.000 0.250 1
Li2 0.000 0.243 0.250 1
Ni1 0.000 0.500 0.250 1
N1 0.223 0.384 0.000 1



# 25
# CsTcP2Os (PBE, relaxed)
# E_tot ... -7.05 eV/atom
# Total moment ... 0.0 μB/f.u.
data_CsTcP2Os
_symmetry_space_group_name_H-M 'I -4 m 2'
_symmetry_Int_Tables_number 119
_symmetry_space_group_name_Hall 'I -4 -2'
_cell_length_a 4.100
_cell_length_b 4.100
_cell_length_c 14.045
_cell_angle_alpha 90.00
_cell_angle_beta 90.00
_cell_angle_gamma 90.00
loop_
_atom_site_label
_atom_site_fract_x
_atom_site_fract_y
_atom_site_fract_z
_atom_site_occupancy
Cs1 0.000 0.000 0.000 1
Tc1 0.000 0.500 0.750 1
P1 0.000 0.000 0.330 1
Os1 0.000 0.500 0.250 1